The following is a DFT calculation (GGA-PBE) of a geometry-optimized Ca2Pr3Y3 structure.

```
Ca2Pr3Y3
1.0
3.914 0.000 -0.630
-0.224 5.778 -1.390
0.037 -0.005 12.699
Y Pr Ca
3 3 2
Cartesian
1.421 2.176 8.821
2.307 3.597 1.858
1.957 0.000 -0.315
0.441 0.675 2.738
-0.112 2.889 -0.695
3.287 5.098 7.941
2.892 1.433 5.493
0.835 4.340 5.187
```

Summary:
space group: Immm, No. 71
D(E_F): 13.70 states/eV per cell
calculated formation energy: 98 meV per atom
E: -4.619 eV per atom

***

The following is a DFT calculation (GGA-PBE) of a geometry-optimized Al2CdHg structure.

```
Al2CdHg
1.0
-1.095 4.106 -1.287
-4.025 0.795 -1.696
-3.510 2.642 3.758
Hg Cd Al
1 1 2
Cartesian
-6.874 5.882 1.639
-4.378 3.807 0.554
-2.093 1.850 0.023
-3.111 2.419 2.705
```

Summary:
ΔE to the lowest computed polymorph: 83 meV per atom
space group: R3m, No. 160
D(E_F): 1.68 states/eV per cell
calculated formation energy: 197 meV per atom
E: -1.979 eV per atom

***

The following is a DFT calculation (GGA-PBE) of a geometry-optimized LaSm2Al6 structure.

```
LaSm2Al6
1.0
4.512 0.000 0.000
2.256 7.552 1.398
2.256 2.862 7.127
Sm Al La
2 6 1
Cartesian
2.256 3.911 3.202
6.767 6.503 5.324
4.512 4.358 5.300
4.512 1.855 4.440
4.512 5.694 7.583
4.512 4.719 0.943
4.512 8.558 4.085
4.512 6.056 3.226
0.000 0.000 0.000
```

Summary:
ΔE to the lowest computed polymorph: 214 meV per atom
space group: Immm, No. 71
D(E_F): 4.61 states/eV per cell
calculated formation energy: -258 meV per atom
E: -4.350 eV per atom

***

The following is a DFT calculation (GGA-PBE) of a geometry-optimized Ho2MgOs structure.

```
Ho2MgOs
1.0
-1.016 3.270 -0.387
-1.424 1.022 -2.966
-9.533 -0.879 2.273
Os Ho Mg
1 2 1
Cartesian
0.000 0.000 0.000
-9.349 2.462 -0.667
-2.624 0.951 -0.414
-5.987 1.706 -0.540
```

Summary:
space group: R-3m, No. 166
D(E_F): 3.80 states/eV per cell
calculated formation energy: 94 meV per atom
E: -5.401 eV per atom

***

The following is a DFT calculation (GGA-PBE) of a geometry-optimized LiCdSiIr2 structure.

```
LiCdSiIr2
1.0
4.436 0.000 0.000
0.000 4.482 0.000
0.000 0.000 4.436
Li Ir Cd Si
1 2 1 1
Cartesian
0.000 2.241 0.000
0.000 0.000 2.218
2.218 0.000 0.000
2.218 2.241 2.218
0.000 0.000 0.000
```

Summary:
space group: P4/mmm, No. 123
D(E_F): 1.13 states/eV per cell
E: -5.073 eV per atom

***

The following is a DFT calculation (GGA-PBE) of a geometry-optimized Nd2CuSi3Rh2 structure.

```
Nd2CuSi3Rh2
1.0
-7.646 -3.363 -2.996
7.169 -0.168 5.227
-2.050 2.096 2.879
Si Nd Cu Rh
3 2 1 2
Cartesian
-0.756 -1.877 0.828
-0.726 -0.601 2.853
1.411 -0.140 4.039
4.558 0.538 5.786
-6.102 -3.030 -2.140
-2.714 -2.299 -0.259
3.379 -0.985 3.123
-5.056 -1.535 0.449
```

Summary:
ΔE to the lowest computed polymorph: 207 meV per atom
space group: Amm2, No. 38
D(E_F): 3.50 states/eV per cell
E: -6.290 eV per atom

***

no.,total moment (μB/atom)
1,0.000
2,0.000
3,0.000
4,0.000
5,0.000
6,0.000